Version i
Material: CsZrOs2
Method: DFT, PBE-GGA
State: optimized geometry

For the density of states at the Fermi level, the calculation gives 18.25 states/eV/cell.

The space group is I-42d (No. 122) and the conventional cell measures 5.063, 5.063 and 18.362 Å, with angles of 90.00, 90.00 and 90.00 degrees. Symmetry generates all atoms from Cs at (0.000, 0.000, 0.000), Zr at (0.000, 0.000, 0.500) and Os at (0.023, 0.250, 0.625).

---

Version ii
Material: CsZrOs2
Method: DFT, PBE-GGA
State: optimized geometry

For the density of states at the Fermi level, the calculation gives 14.63 states/eV/cell.

The space group is Fm-3m (No. 225) and the conventional cell measures 6.895, 6.895 and 6.895 Å, with angles of 90.00, 90.00 and 90.00 degrees. Symmetry generates all atoms from Cs at (0.000, 0.000, 0.000), Zr at (0.000, 0.000, 0.500) and Os at (0.250, 0.250, 0.250).

---

The calculated energies rank the structures as follows, beginning with the most stable: version i, version ii.

---

Version i
Material: CsP3Pb
Method: DFT, PBE-GGA
State: optimized geometry

For the density of states at the Fermi level, the calculation gives 5.43 states/eV/cell.

The space group is Pm-3m (No. 221) and the conventional cell measures 5.436, 5.436 and 5.436 Å, with angles of 90.00, 90.00 and 90.00 degrees. Symmetry generates all atoms from Cs at (0.000, 0.000, 0.000), P at (0.000, 0.000, 0.500) and Pb at (0.500, 0.500, 0.500).

---

Version ii
Material: CsP3Pb
Method: DFT, PBE-GGA
State: optimized geometry

For the density of states at the Fermi level, the calculation gives 6.26 states/eV/cell.

The space group is Pm-3m (No. 221) and the conventional cell measures 5.440, 5.440 and 5.440 Å, with angles of 90.00, 90.00 and 90.00 degrees. Symmetry generates all atoms from Cs at (0.000, 0.000, 0.000), P at (0.000, 0.500, 0.500) and Pb at (0.500, 0.500, 0.500).

---

The calculated energies rank the structures as follows, beginning with the most stable: version ii, version i.

---

Version i
Material: Cs2RePPb
Method: DFT, PBE-GGA
State: optimized geometry

For the density of states at the Fermi level, the calculation gives 4.92 states/eV/cell.

The space group is P4/mmm (No. 123) and the conventional cell measures 6.828, 6.828 and 4.492 Å, with angles of 90.00, 90.00 and 90.00 degrees. Symmetry generates all atoms from Cs at (0.000, 0.500, 0.000), Re at (0.000, 0.000, 0.500), P at (0.000, 0.000, 0.000) and Pb at (0.500, 0.500, 0.500).

---

Version ii
Material: Cs2RePPb
Method: DFT, PBE-GGA
State: optimized geometry

For the density of states at the Fermi level, the calculation gives 7.43 states/eV/cell.

The space group is P4/mmm (No. 123) and the conventional cell measures 7.389, 7.389 and 5.181 Å, with angles of 90.00, 90.00 and 90.00 degrees. Symmetry generates all atoms from Cs at (0.000, 0.500, 0.000), Re at (0.000, 0.000, 0.500), P at (0.500, 0.500, 0.500) and Pb at (0.500, 0.500, 0.000).

---

The calculated energies rank the structures as follows, beginning with the most stable: version i, version ii.

---

Version i
Material: CsP2PbS
Method: DFT, PBE-GGA
State: optimized geometry

For the density of states at the Fermi level, the calculation gives 2.93 states/eV/cell.

The space group is P4/mmm (No. 123) and the conventional cell measures 5.450, 5.450 and 5.524 Å, with angles of 90.00, 90.00 and 90.00 degrees. Symmetry generates all atoms from Cs at (0.000, 0.000, 0.000), P at (0.000, 0.500, 0.500), Pb at (0.500, 0.500, 0.500) and S at (0.500, 0.500, 0.000).

---

Version ii
Material: CsP2PbS
Method: DFT, PBE-GGA
State: optimized geometry

For the density of states at the Fermi level, the calculation gives 3.63 states/eV/cell.

The space group is P4/mmm (No. 123) and the conventional cell measures 5.867, 5.867 and 5.887 Å, with angles of 90.00, 90.00 and 90.00 degrees. Symmetry generates all atoms from Cs at (0.000, 0.000, 0.000), P at (0.000, 0.500, 0.000), Pb at (0.500, 0.500, 0.500) and S at (0.000, 0.000, 0.500).

---

The calculated energies rank the structures as follows, beginning with the most stable: version i, version ii.

---

Version i
Material: CsPPd3
Method: DFT, PBE-GGA
State: optimized geometry

For the density of states at the Fermi level, the calculation gives 13.02 states/eV/cell.

The space group is Cmcm (No. 63) and the conventional cell measures 6.357, 11.004 and 6.288 Å, with angles of 90.00, 90.00 and 90.00 degrees. Symmetry generates all atoms from Cs at (0.000, 0.166, 0.250), P at (0.000, 0.500, 0.000), Pd at (0.000, 0.334, 0.750) and Pd at (0.248, 0.417, 0.250).

---

Version ii
Material: CsPPd3
Method: DFT, PBE-GGA
State: optimized geometry

For the density of states at the Fermi level, the calculation gives 8.10 states/eV/cell.

The space group is Pm-3m (No. 221) and the conventional cell measures 4.780, 4.780 and 4.780 Å, with angles of 90.00, 90.00 and 90.00 degrees. Symmetry generates all atoms from Cs at (0.000, 0.000, 0.000), P at (0.500, 0.500, 0.500) and Pd at (0.000, 0.500, 0.500).

---

The calculated energies rank the structures as follows, beginning with the most stable: version ii, version i.

---

Version i
Material: CsPPd3
Method: DFT, PBE-GGA
State: optimized geometry

For the density of states at the Fermi level, the calculation gives 1.60 states/eV/cell.

The space group is Pm-3m (No. 221) and the conventional cell measures 5.240, 5.240 and 5.240 Å, with angles of 90.00, 90.00 and 90.00 degrees. Symmetry generates all atoms from Cs at (0.000, 0.000, 0.000), P at (0.500, 0.500, 0.500) and Pd at (0.000, 0.000, 0.500).

---

Version ii
Material: CsPPd3
Method: DFT, PBE-GGA
State: optimized geometry

For the density of states at the Fermi level, the calculation gives 2.97 states/eV/cell.

The space group is P2_1/m (No. 11) and the conventional cell measures 6.506, 5.599 and 7.420 Å, with angles of 90.00, 97.26 and 90.00 degrees. Symmetry generates all atoms from Cs at (0.223, 0.250, 0.387), P at (0.401, 0.750, 0.134), Pd at (0.045, 0.750, 0.077) and Pd at (0.314, 0.004, 0.880).

---

The calculated energies rank the structures as follows, beginning with the most stable: version ii, version i.

---

Version i
Material: CsP2Pd3
Method: DFT, PBE-GGA
State: optimized geometry

For the density of states at the Fermi level, the calculation gives 9.84 states/eV/cell.

The space group is C2/m (No. 12) and the conventional cell measures 15.272, 4.033 and 9.313 Å, with angles of 90.00, 112.50 and 90.00 degrees. Symmetry generates all atoms from Cs at (0.147, 0.000, 0.060), P at (0.023, 0.500, 0.240), P at (0.177, 0.000, 0.624), Pd at (0.048, 0.000, 0.379), Pd at (0.090, 0.500, 0.641) and Pd at (0.184, 0.500, 0.437).

---

Version ii
Material: CsP2Pd3
Method: DFT, PBE-GGA
State: optimized geometry

For the density of states at the Fermi level, the calculation gives 3.32 states/eV/cell.

The space group is P2_1/m (No. 11) and the conventional cell measures 6.804, 5.574 and 6.807 Å, with angles of 90.00, 112.12 and 90.00 degrees. Symmetry generates all atoms from Cs at (0.128, 0.250, 0.129), P at (0.321, 0.000, 0.679), Pd at (0.006, 0.250, 0.552), Pd at (0.443, 0.750, 0.443) and Pd at (0.448, 0.750, 0.994).

---

The calculated energies rank the structures as follows, beginning with the most stable: version i, version ii.

---

Version i
Material: Cs2PPd2
Method: DFT, PBE-GGA
State: optimized geometry

For the density of states at the Fermi level, the calculation gives 5.79 states/eV/cell.

The space group is C2/c (No. 15) and the conventional cell measures 11.356, 7.217 and 7.799 Å, with angles of 90.00, 99.88 and 90.00 degrees. Symmetry generates all atoms from Cs at (0.157, 0.103, 0.143), P at (0.000, 0.459, 0.750) and Pd at (0.093, 0.383, 0.509).

---

Version ii
Material: Cs2PPd2
Method: DFT, PBE-GGA
State: optimized geometry

For the density of states at the Fermi level, the calculation gives 11.03 states/eV/cell.

The space group is P4/mbm (No. 127) and the conventional cell measures 6.864, 6.864 and 5.983 Å, with angles of 90.00, 90.00 and 90.00 degrees. Symmetry generates all atoms from Cs at (0.176, 0.324, 0.000), P at (0.000, 0.000, 0.500) and Pd at (0.210, 0.710, 0.500).

---

The calculated energies rank the structures as follows, beginning with the most stable: version i, version ii.

---

Version i
Material: CsPPd
Method: DFT, PBE-GGA
State: optimized geometry

For the density of states at the Fermi level, the calculation gives 2.74 states/eV/cell.

The space group is I4mm (No. 107) and the conventional cell measures 3.447, 3.447 and 12.748 Å, with angles of 90.00, 90.00 and 90.00 degrees. Symmetry generates all atoms from Cs at (0.000, 0.000, 0.000), P at (0.000, 0.000, 0.718) and Pd at (0.000, 0.000, 0.267).

---

Version ii
Material: CsPPd
Method: DFT, PBE-GGA
State: optimized geometry

For the density of states at the Fermi level, the calculation gives 2.71 states/eV/cell.

The space group is P-6m2 (No. 187) and the conventional cell measures 4.0618, 4.0618 and 5.9436 Å, with angles of 90.00, 90.00 and 120.00 degrees. Symmetry generates all atoms from Cs at (0.0000, 0.0000, 0.0000), P at (0.3333, 0.6667, 0.5000) and Pd at (0.6667, 0.3333, 0.5000).

---

The calculated energies rank the structures as follows, beginning with the most stable: version ii, version i.

---

Version i
Material: CsPPdS2
Method: DFT, PBE-GGA
State: optimized geometry

For the density of states at the Fermi level, the calculation gives 5.47 states/eV/cell.

The space group is P4/mmm (No. 123) and the conventional cell measures 5.197, 5.197 and 4.542 Å, with angles of 90.00, 90.00 and 90.00 degrees. Symmetry generates all atoms from Cs at (0.000, 0.000, 0.000), P at (0.500, 0.500, 0.000), Pd at (0.500, 0.500, 0.500) and S at (0.000, 0.500, 0.500).

---

Version ii
Material: CsPPdS2
Method: DFT, PBE-GGA
State: optimized geometry

For the density of states at the Fermi level, the calculation gives 9.79 states/eV/cell.

The space group is P4/mmm (No. 123) and the conventional cell measures 5.430, 5.430 and 5.800 Å, with angles of 90.00, 90.00 and 90.00 degrees. Symmetry generates all atoms from Cs at (0.000, 0.000, 0.000), P at (0.000, 0.000, 0.500), Pd at (0.500, 0.500, 0.500) and S at (0.000, 0.500, 0.000).

---

The calculated energies rank the structures as follows, beginning with the most stable: version i, version ii.

---

Version i
Material: Cs2PPt2
Method: DFT, PBE-GGA
State: optimized geometry

For the density of states at the Fermi level, the calculation gives 4.54 states/eV/cell.

The space group is Cmc2_1 (No. 36) and the conventional cell measures 4.473, 21.984 and 7.285 Å, with angles of 90.00, 90.00 and 90.00 degrees. Symmetry generates all atoms from Cs at (0.000, 0.026, 0.000), Cs at (0.000, 0.202, 0.841), P at (0.000, 0.367, 0.884), Pt at (0.000, 0.141, 0.354) and Pt at (0.000, 0.412, 0.154).

---

Version ii
Material: Cs2PPt2
Method: DFT, PBE-GGA
State: optimized geometry

For the density of states at the Fermi level, the calculation gives 7.73 states/eV/cell.

The space group is P4/mbm (No. 127) and the conventional cell measures 6.562, 6.562 and 5.986 Å, with angles of 90.00, 90.00 and 90.00 degrees. Symmetry generates all atoms from Cs at (0.181, 0.319, 0.000), P at (0.000, 0.000, 0.500) and Pt at (0.153, 0.653, 0.500).

---

The calculated energies rank the structures as follows, beginning with the most stable: version i, version ii.

---

Version i
Material: Cs3PPt
Method: DFT, PBE-GGA
State: optimized geometry

For the density of states at the Fermi level, the calculation gives 11.38 states/eV/cell.

The space group is Pmmn (No. 59, origin choice 2) and the conventional cell measures 5.541, 10.800 and 7.074 Å, with angles of 90.00, 90.00 and 90.00 degrees. Symmetry generates all atoms from Cs at (0.250, 0.044, 0.249), Cs at (0.250, 0.250, 0.747), P at (0.250, 0.750, 0.589) and Pt at (0.250, 0.750, 0.902).

---

Version ii
Material: Cs3PPt
Method: DFT, PBE-GGA
State: optimized geometry

For the density of states at the Fermi level, the calculation gives 11.77 states/eV/cell.

The space group is Pm-3m (No. 221) and the conventional cell measures 6.462, 6.462 and 6.462 Å, with angles of 90.00, 90.00 and 90.00 degrees. Symmetry generates all atoms from Cs at (0.000, 0.000, 0.500), P at (0.500, 0.500, 0.500) and Pt at (0.000, 0.000, 0.000).

---

Version iii
Material: Cs3PPt
Method: DFT, PBE-GGA
State: optimized geometry

For the density of states at the Fermi level, the calculation gives 17.72 states/eV/cell.

The space group is C2/m (No. 12) and the conventional cell measures 8.189, 11.110 and 12.910 Å, with angles of 90.00, 105.86 and 90.00 degrees. Symmetry generates all atoms from Cs at (0.134, 0.192, 0.153), Cs at (0.202, 0.500, 0.386), P at (0.226, 0.500, 0.055) and Pt at (0.022, 0.500, 0.893).

---

The calculated energies rank the structures as follows, beginning with the most stable: version iii, version i, version ii.